The following is a DFT calculation (PBE) of ScBeZnFe after structural relaxation.

Symmetry ... No. 216
Size of the total moment ... 0.653 μB/f.u.

Cell lengths 4.226, 4.226, 4.226 Å; angles 60.00, 60.00, 60.00 degrees
Positions (direct):
Zn: 0.250 0.250 0.250
Fe: 0.500 0.500 0.500
Sc: 0.750 0.750 0.750
Be: 0.000 0.000 0.000



The following is a DFT calculation (PBE) of ZnAgTeO after structural relaxation.

Symmetry ... No. 19

Cell lengths 6.341, 5.873, 8.459 Å; angles 90.00, 90.00, 90.00 degrees
Positions (direct):
O: 0.020 0.197 0.890
Zn: 0.763 0.276 0.984
Te: 0.522 0.295 0.697
Te: 0.022 0.205 0.303
Te: 0.978 0.705 0.197
O: 0.520 0.303 0.110
Te: 0.478 0.795 0.803
Ag: 0.072 0.281 0.624
Zn: 0.237 0.776 0.516
Ag: 0.428 0.719 0.124
Zn: 0.737 0.724 0.484
O: 0.480 0.803 0.390
Ag: 0.572 0.219 0.376
Zn: 0.263 0.224 0.016
O: 0.980 0.697 0.610
Ag: 0.928 0.781 0.876



The following is a DFT calculation (PBE) of PaInNO after structural relaxation.

Symmetry ... No. 29
Size of the total moment ... 1.000 μB/f.u.

Cell lengths 5.809, 8.564, 5.777 Å; angles 90.00, 90.00, 90.00 degrees
Positions (direct):
N: 0.745 0.007 0.718
In: 0.494 0.630 0.958
In: 0.994 0.370 0.958
In: 0.506 0.370 0.458
O: 0.608 0.394 0.056
In: 0.006 0.630 0.458
Pa: 0.491 0.131 0.970
Pa: 0.009 0.131 0.470
N: 0.255 0.993 0.218
O: 0.892 0.394 0.556
O: 0.392 0.606 0.556
Pa: 0.509 0.869 0.470
N: 0.245 0.993 0.718
O: 0.108 0.606 0.056
Pa: 0.991 0.869 0.970
N: 0.755 0.007 0.218



no.,ΔE to the lowest computed polymorph (meV per atom)
1,97
2,137
3,0